(1)
Here is MgMn5S6 after structural relaxation from Alexandria via LeMat-Bulk. Energies are from PBE-GGA.

Values from the calculation:
As for the space-group type: C2/m. For the total DFT energy (no corrections), the calculation gives -6.649 eV per atom.

Geometry as CIF:
```
data_MgMn5S6
_chemical_formula_sum 'Mg1 Mn5 S6'
_cell_length_a 6.3091
_cell_length_b 6.3091
_cell_length_c 6.3174
_cell_angle_alpha 99.68
_cell_angle_beta 99.68
_cell_angle_gamma 119.92
_space_group_name_H-M_alt 'P 1'
_space_group_IT_number 1
_space_group_name_Hall 'P 1'
loop_
_atom_site_label
_atom_site_type_symbol
_atom_site_fract_x
_atom_site_fract_y
_atom_site_fract_z
_atom_site_occupancy
Mg1 Mg 0.0000 0.0000 0.0000 1
Mn1 Mn 0.1654 0.8346 0.5000 1
Mn2 Mn 0.3335 0.6665 0.0000 1
Mn3 Mn 0.5000 0.5000 0.5000 1
Mn4 Mn 0.6665 0.3335 0.0000 1
Mn5 Mn 0.8346 0.1654 0.5000 1
S1 S 0.0841 0.4187 0.2517 1
S2 S 0.2517 0.2517 0.7511 1
S3 S 0.4187 0.0841 0.2517 1
S4 S 0.5813 0.9159 0.7483 1
S5 S 0.7483 0.7483 0.2489 1
S6 S 0.9159 0.5813 0.7483 1
```

(2)
Here is B2OsRh2 after structural relaxation from Alexandria via LeMat-Bulk. Energies are from PBE-GGA.

Values from the calculation:
As for the space-group type: I4/mmm. For the total DFT energy (no corrections), the calculation gives -7.398 eV per atom. As for the energy relative to the elements: 460 meV per atom.

Geometry as CIF:
```
data_B2OsRh2
_chemical_formula_sum 'B4 Os2 Rh4'
_cell_length_a 3.7802
_cell_length_b 3.7802
_cell_length_c 8.2861
_cell_angle_alpha 90.00
_cell_angle_beta 90.00
_cell_angle_gamma 90.00
_space_group_name_H-M_alt 'P 1'
_space_group_IT_number 1
_space_group_name_Hall 'P 1'
loop_
_atom_site_label
_atom_site_type_symbol
_atom_site_fract_x
_atom_site_fract_y
_atom_site_fract_z
_atom_site_occupancy
B1 B 0.0000 0.5000 0.2500 1
B2 B 0.0000 0.5000 0.7500 1
B3 B 0.5000 0.0000 0.2500 1
B4 B 0.5000 0.0000 0.7500 1
Os1 Os 0.0000 0.0000 0.0000 1
Os2 Os 0.5000 0.5000 0.5000 1
Rh1 Rh 0.0000 0.0000 0.3516 1
Rh2 Rh 0.0000 0.0000 0.6484 1
Rh3 Rh 0.5000 0.5000 0.1484 1
Rh4 Rh 0.5000 0.5000 0.8516 1
```

(3)
Here is GaFeNi after structural relaxation from Alexandria via LeMat-Bulk. Energies are from PBE-GGA.

Values from the calculation:
As for the space-group type: Amm2. For the total DFT energy (no corrections), the calculation gives -5.872 eV per atom. As for the energy relative to the elements: -115 meV per atom.

Geometry as CIF:
```
data_GaFeNi
_chemical_formula_sum 'Ga4 Fe4 Ni4'
_cell_length_a 4.1356
_cell_length_b 8.0815
_cell_length_c 4.4132
_cell_angle_alpha 90.00
_cell_angle_beta 90.00
_cell_angle_gamma 90.00
_space_group_name_H-M_alt 'P 1'
_space_group_IT_number 1
_space_group_name_Hall 'P 1'
loop_
_atom_site_label
_atom_site_type_symbol
_atom_site_fract_x
_atom_site_fract_y
_atom_site_fract_z
_atom_site_occupancy
Ga1 Ga 0.0000 0.1626 0.0000 1
Ga2 Ga 0.0000 0.3374 0.5000 1
Ga3 Ga 0.0000 0.6626 0.5000 1
Ga4 Ga 0.0000 0.8374 0.0000 1
Fe1 Fe 0.5000 0.1650 0.3617 1
Fe2 Fe 0.5000 0.3350 0.8617 1
Fe3 Fe 0.5000 0.6650 0.8617 1
Fe4 Fe 0.5000 0.8350 0.3617 1
Ni1 Ni 0.0000 0.0000 0.5006 1
Ni2 Ni 0.0000 0.5000 0.0006 1
Ni3 Ni 0.5000 0.0000 0.8497 1
Ni4 Ni 0.5000 0.5000 0.3497 1
```

(4)
Here is MnBiAsBr2 after structural relaxation from Alexandria via LeMat-Bulk. Energies are from PBE-GGA.

Values from the calculation:
As for the space-group type: P4/mmm. For the total DFT energy (no corrections), the calculation gives -3.855 eV per atom.

Geometry as CIF:
```
data_MnBiAsBr2
_chemical_formula_sum 'Mn1 Bi1 As1 Br2'
_cell_length_a 4.9473
_cell_length_b 4.9473
_cell_length_c 4.7918
_cell_angle_alpha 90.00
_cell_angle_beta 90.00
_cell_angle_gamma 90.00
_space_group_name_H-M_alt 'P 1'
_space_group_IT_number 1
_space_group_name_Hall 'P 1'
loop_
_atom_site_label
_atom_site_type_symbol
_atom_site_fract_x
_atom_site_fract_y
_atom_site_fract_z
_atom_site_occupancy
Mn1 Mn 0.0000 0.0000 0.0000 1
Bi1 Bi 0.5000 0.5000 0.5000 1
As1 As 0.0000 0.0000 0.5000 1
Br1 Br 0.0000 0.5000 0.0000 1
Br2 Br 0.5000 0.0000 0.0000 1
```

(5)
Here is LaMn2Au after structural relaxation from Alexandria via LeMat-Bulk. Energies are from PBE-GGA.

Values from the calculation:
As for the space-group type: Fm-3m. For the total DFT energy (no corrections), the calculation gives -6.471 eV per atom. As for the energy relative to the elements: 165 meV per atom.

Geometry as CIF:
```
data_LaMn2Au
_chemical_formula_sum 'La4 Mn8 Au4'
_cell_length_a 6.7939
_cell_length_b 6.7939
_cell_length_c 6.7939
_cell_angle_alpha 90.00
_cell_angle_beta 90.00
_cell_angle_gamma 90.00
_space_group_name_H-M_alt 'P 1'
_space_group_IT_number 1
_space_group_name_Hall 'P 1'
loop_
_atom_site_label
_atom_site_type_symbol
_atom_site_fract_x
_atom_site_fract_y
_atom_site_fract_z
_atom_site_occupancy
La1 La 0.0000 0.0000 0.0000 1
La2 La 0.0000 0.5000 0.5000 1
La3 La 0.5000 0.0000 0.5000 1
La4 La 0.5000 0.5000 0.0000 1
Mn1 Mn 0.2500 0.2500 0.2500 1
Mn2 Mn 0.2500 0.2500 0.7500 1
Mn3 Mn 0.2500 0.7500 0.2500 1
Mn4 Mn 0.2500 0.7500 0.7500 1
Mn5 Mn 0.7500 0.2500 0.2500 1
Mn6 Mn 0.7500 0.2500 0.7500 1
Mn7 Mn 0.7500 0.7500 0.2500 1
Mn8 Mn 0.7500 0.7500 0.7500 1
Au1 Au 0.0000 0.0000 0.5000 1
Au2 Au 0.0000 0.5000 0.0000 1
Au3 Au 0.5000 0.0000 0.0000 1
Au4 Au 0.5000 0.5000 0.5000 1
```

(6)
Here is NdGaBi2 after structural relaxation from Alexandria via LeMat-Bulk. Energies are from PBE-GGA.

Values from the calculation:
As for the space-group type: R-3m. For the total DFT energy (no corrections), the calculation gives -3.886 eV per atom. As for the energy relative to the elements: 3 meV per atom.

Geometry as CIF:
```
data_NdGaBi2
_chemical_formula_sum 'Nd3 Ga3 Bi6'
_cell_length_a 5.0889
_cell_length_b 5.0889
_cell_length_c 24.6215
_cell_angle_alpha 90.00
_cell_angle_beta 90.00
_cell_angle_gamma 120.00
_space_group_name_H-M_alt 'P 1'
_space_group_IT_number 1
_space_group_name_Hall 'P 1'
loop_
_atom_site_label
_atom_site_type_symbol
_atom_site_fract_x
_atom_site_fract_y
_atom_site_fract_z
_atom_site_occupancy
Nd1 Nd 0.0000 0.0000 0.0000 1
Nd2 Nd 0.3333 0.6667 0.6667 1
Nd3 Nd 0.6667 0.3333 0.3333 1
Ga1 Ga 0.0000 0.0000 0.5000 1
Ga2 Ga 0.3333 0.6667 0.1667 1
Ga3 Ga 0.6667 0.3333 0.8333 1
Bi1 Bi 0.0000 0.0000 0.3934 1
Bi2 Bi 0.0000 0.0000 0.6066 1
Bi3 Bi 0.3333 0.6667 0.0601 1
Bi4 Bi 0.3333 0.6667 0.2732 1
Bi5 Bi 0.6667 0.3333 0.7268 1
Bi6 Bi 0.6667 0.3333 0.9399 1
```

(7)
Here is Pt2Au2O7 after structural relaxation from Alexandria via LeMat-Bulk. Energies are from PBE-GGA.

Values from the calculation:
As for the space-group type: C2/m. For the total DFT energy (no corrections), the calculation gives -4.751 eV per atom.

Geometry as CIF:
```
data_Pt2Au2O7
_chemical_formula_sum 'Pt2 Au2 O7'
_cell_length_a 5.7405
_cell_length_b 5.7405
_cell_length_c 5.8402
_cell_angle_alpha 100.35
_cell_angle_beta 100.35
_cell_angle_gamma 122.71
_space_group_name_H-M_alt 'P 1'
_space_group_IT_number 1
_space_group_name_Hall 'P 1'
loop_
_atom_site_label
_atom_site_type_symbol
_atom_site_fract_x
_atom_site_fract_y
_atom_site_fract_z
_atom_site_occupancy
Pt1 Pt 0.1681 0.8319 0.0000 1
Pt2 Pt 0.8319 0.1681 0.0000 1
Au1 Au 0.2953 0.2953 0.7468 1
Au2 Au 0.7047 0.7047 0.2532 1
O1 O 0.0331 0.4276 0.7904 1
O2 O 0.1642 0.1642 0.2141 1
O3 O 0.4276 0.0331 0.7904 1
O4 O 0.5000 0.5000 0.5000 1
O5 O 0.5724 0.9669 0.2096 1
O6 O 0.8358 0.8358 0.7859 1
O7 O 0.9669 0.5724 0.2096 1
```

(8)
Here is CdPd7 after structural relaxation from Alexandria via LeMat-Bulk. Energies are from PBE-GGA.

Values from the calculation:
As for the space-group type: I4/mmm. For the total DFT energy (no corrections), the calculation gives -4.785 eV per atom. As for the energy relative to the elements: -127 meV per atom.

Geometry as CIF:
```
data_CdPd7
_chemical_formula_sum 'Cd2 Pd14'
_cell_length_a 3.9728
_cell_length_b 3.9728
_cell_length_c 16.0507
_cell_angle_alpha 90.00
_cell_angle_beta 90.00
_cell_angle_gamma 90.00
_space_group_name_H-M_alt 'P 1'
_space_group_IT_number 1
_space_group_name_Hall 'P 1'
loop_
_atom_site_label
_atom_site_type_symbol
_atom_site_fract_x
_atom_site_fract_y
_atom_site_fract_z
_atom_site_occupancy
Cd1 Cd 0.0000 0.0000 0.0000 1
Cd2 Cd 0.5000 0.5000 0.5000 1
Pd1 Pd 0.0000 0.0000 0.2506 1
Pd2 Pd 0.0000 0.0000 0.5000 1
Pd3 Pd 0.0000 0.0000 0.7494 1
Pd4 Pd 0.0000 0.5000 0.1273 1
Pd5 Pd 0.0000 0.5000 0.3727 1
Pd6 Pd 0.0000 0.5000 0.6273 1
Pd7 Pd 0.0000 0.5000 0.8727 1
Pd8 Pd 0.5000 0.0000 0.1273 1
Pd9 Pd 0.5000 0.0000 0.3727 1
Pd10 Pd 0.5000 0.0000 0.6273 1
Pd11 Pd 0.5000 0.0000 0.8727 1
Pd12 Pd 0.5000 0.5000 0.0000 1
Pd13 Pd 0.5000 0.5000 0.2494 1
Pd14 Pd 0.5000 0.5000 0.7506 1
```

(9)
Here is Ti2Zn6Cd after structural relaxation from Alexandria via LeMat-Bulk. Energies are from PBE-GGA.

Values from the calculation:
As for the space-group type: Immm. For the total DFT energy (no corrections), the calculation gives -2.682 eV per atom. As for the energy relative to the elements: 24 meV per atom.

Geometry as CIF:
```
data_Ti2Zn6Cd
_chemical_formula_sum 'Ti2 Zn6 Cd1'
_cell_length_a 7.3163
_cell_length_b 7.3163
_cell_length_c 7.3163
_cell_angle_alpha 145.50
_cell_angle_beta 134.65
_cell_angle_gamma 58.20
_space_group_name_H-M_alt 'P 1'
_space_group_IT_number 1
_space_group_name_Hall 'P 1'
loop_
_atom_site_label
_atom_site_type_symbol
_atom_site_fract_x
_atom_site_fract_y
_atom_site_fract_z
_atom_site_occupancy
Ti1 Ti 0.1039 0.1039 0.0000 1
Ti2 Ti 0.8961 0.8961 0.0000 1
Zn1 Zn 0.0529 0.2999 0.7530 1
Zn2 Zn 0.2220 0.5000 0.7220 1
Zn3 Zn 0.4531 0.7001 0.7530 1
Zn4 Zn 0.5469 0.2999 0.2470 1
Zn5 Zn 0.7780 0.5000 0.2780 1
Zn6 Zn 0.9471 0.7001 0.2470 1
Cd1 Cd 0.5000 0.0000 0.5000 1
```